# 1
Entry from Alexandria via LeMat-Bulk: BeGe2Pd after structural relaxation (GGA-PBE).

As for the space-group type: No. 122. Its spin magnetization is 0.00 μB/f.u. For the formation energy, the calculation gives 0.0520 eV per atom.

Cell lengths 3.9004, 3.9004, 8.7187 Å; angles 77.07, 77.07, 90.00 degrees
Closest atoms and distances in Å follow each position.
Fractional positions:
Ge 0.1442 0.6250 0.2500  2 Be 2.46, 2 Pd 2.52, 2 Ge 2.65
Ge 0.3750 0.3942 0.7500  2 Be 2.46, 2 Pd 2.52, 2 Ge 2.65
Ge 0.6058 0.1250 0.2500  2 Be 2.46, 2 Pd 2.52, 2 Ge 2.65
Ge 0.8750 0.8558 0.7500  2 Be 2.46, 2 Pd 2.52, 2 Ge 2.65
Be 0.2500 0.7500 0.5000  4 Ge 2.46
Be 0.5000 0.5000 0.0000  4 Ge 2.46
Pd 0.7500 0.2500 0.5000  4 Ge 2.52, 4 Be 2.76
Pd 0.0000 0.0000 0.0000  4 Ge 2.52, 4 Be 2.76


# 2
Entry from Alexandria via LeMat-Bulk: BeGePd3 after structural relaxation (GGA-PBE).

As for the space-group type: No. 221. As for the energy above the lowest structure with this stoichiometry: 0.000 eV/atom. Its spin magnetization is 0.00 μB/f.u. For the formation energy, the calculation gives -0.0633 eV per atom.

Cell lengths 4.2428, 4.2428, 4.2428 Å; angles 90.00, 90.00, 90.00 degrees
Closest atoms and distances in Å follow each position.
Fractional positions:
Be 0.0000 0.0000 0.0000  6 Pd 2.12
Ge 0.5000 0.5000 0.5000  12 Pd 3.00
Pd 0.5000 0.0000 0.0000  2 Be 2.12
Pd 0.0000 0.5000 0.0000  2 Be 2.12
Pd 0.0000 0.0000 0.5000  2 Be 2.12